Model a:
The following is a PBE calculation of a relaxed structure of AcVRh2, from Alexandria.

Output
ρ = 9.46 g cm⁻³
Fermi-level density of states = 4.97 states/eV/cell
SG = R-3m

Unit cell a=4.202 b=4.202 c=6.058 alpha=69.71 beta=69.71 gamma=60.00
Element x y z (fractional)
Rh 0.291 0.291 0.128
Rh 0.709 0.709 0.872
Ac 0.500 0.500 0.500
V 0.000 0.000 0.000

***

Model b:
The following is a PBE calculation of a relaxed structure of AcVRh2, from Alexandria.

Output
ρ = 10.57 g cm⁻³
Fermi-level density of states = 3.92 states/eV/cell
SG = P4/mmm

Unit cell a=3.196 b=3.196 c=7.442 alpha=90.00 beta=90.00 gamma=90.00
Element x y z (fractional)
Rh 0.000 0.000 0.816
Rh 0.000 0.000 0.184
V 0.500 0.500 0.000
Ac 0.500 0.500 0.500

***

Most favorable structure: model a. The second most favorable one is 18.3 kJ/mol of atoms above it.

***

Model a:
The following is a PBE calculation of a relaxed structure of AcYRh, from Alexandria.

Output
ρ = 7.03 g cm⁻³
Fermi-level density of states = 2.91 states/eV/cell
SG = P3m1

Unit cell a=6.462 b=4.204 c=4.204 alpha=120.00 beta=90.00 gamma=90.00
Element x y z (fractional)
Y 0.562 0.667 0.333
Ac 0.090 0.000 0.000
Rh 0.348 0.333 0.667

***

Model b:
The following is a PBE calculation of a relaxed structure of AcYRh, from Alexandria.

Output
ρ = 7.64 g cm⁻³
Fermi-level density of states = 12.02 states/eV/cell
SG = Fdd2

Unit cell a=8.119 b=7.489 c=8.119 alpha=70.02 beta=68.31 gamma=109.98
Element x y z (fractional)
Y 0.586 0.429 0.169
Y 0.402 0.571 0.843
Y 0.081 0.929 0.664
Y 0.407 0.071 0.848
Rh 0.684 0.886 0.867
Rh 0.047 0.614 0.003
Rh 0.247 0.114 0.203
Rh 0.383 0.386 0.566
Ac 0.909 0.221 0.384
Ac 0.866 0.721 0.341
Ac 0.938 0.279 0.856
Ac 0.394 0.779 0.312

***

Model c:
The following is a PBE calculation of a relaxed structure of AcYRh, from Alexandria.

Output
ρ = 7.15 g cm⁻³
Fermi-level density of states = 8.68 states/eV/cell
SG = P2_1/c

Unit cell a=7.192 b=6.737 c=8.049 alpha=93.73 beta=90.00 gamma=90.00
Element x y z (fractional)
Rh 0.261 0.506 0.642
Rh 0.739 0.494 0.358
Rh 0.239 0.006 0.142
Rh 0.761 0.994 0.858
Y 0.420 0.259 0.383
Y 0.080 0.759 0.883
Y 0.920 0.241 0.117
Y 0.580 0.741 0.617
Ac 0.417 0.239 0.884
Ac 0.083 0.739 0.384
Ac 0.583 0.761 0.116
Ac 0.917 0.261 0.616

***

Model d:
The following is a PBE calculation of a relaxed structure of AcYRh, from Alexandria.

Output
ρ = 7.68 g cm⁻³
Fermi-level density of states = 3.33 states/eV/cell
SG = F-43m

Unit cell a=5.040 b=5.040 c=5.040 alpha=60.00 beta=60.00 gamma=60.00
Element x y z (fractional)
Rh 0.250 0.250 0.250
Ac 0.000 0.000 0.000
Y 0.500 0.500 0.500

***

Most favorable structure: model b. The second most favorable one is 2.5 kJ/mol of atoms above it.

***

Model a:
The following is a PBE calculation of a relaxed structure of AcZn2Rh, from Alexandria.

Output
ρ = 8.62 g cm⁻³
Fermi-level density of states = 2.53 states/eV/cell
SG = R-3m

Unit cell a=4.359 b=4.359 c=5.952 alpha=68.52 beta=68.52 gamma=60.00
Element x y z (fractional)
Rh 0.500 0.500 0.500
Ac 0.000 0.000 0.000
Zn 0.798 0.798 0.607
Zn 0.202 0.202 0.393

***

Model b:
The following is a PBE calculation of a relaxed structure of AcZn2Rh, from Alexandria.

Output
ρ = 8.93 g cm⁻³
Fermi-level density of states = 4.02 states/eV/cell
SG = Cmcm

Unit cell a=4.175 b=5.682 c=7.767 alpha=90.00 beta=90.00 gamma=111.56
Element x y z (fractional)
Ac 0.940 0.880 0.250
Ac 0.060 0.120 0.750
Rh 0.785 0.571 0.750
Rh 0.215 0.429 0.250
Zn 0.664 0.328 0.446
Zn 0.664 0.328 0.054
Zn 0.336 0.672 0.946
Zn 0.336 0.672 0.554

***

Most favorable structure: model b. The second most favorable one is 9.0 kJ/mol of atoms above it.

***

Model a:
The following is a PBE calculation of a relaxed structure of AcZn4Rh2, from Alexandria.

Output
ρ = 8.96 g cm⁻³
Fermi-level density of states = 4.01 states/eV/cell
SG = Cmmm

Unit cell a=4.160 b=4.120 c=7.790 alpha=105.33 beta=90.00 gamma=90.00
Element x y z (fractional)
Zn 0.000 0.689 0.378
Zn 0.500 0.194 0.387
Zn 0.500 0.806 0.613
Zn 0.000 0.311 0.622
Ac 0.000 0.000 0.000
Rh 0.500 0.411 0.823
Rh 0.500 0.589 0.177

***

Model b:
The following is a PBE calculation of a relaxed structure of AcZn4Rh2, from Alexandria.

Output
ρ = 9.09 g cm⁻³
Fermi-level density of states = 6.02 states/eV/cell
SG = P4_2/mnm

Unit cell a=4.075 b=7.890 c=7.890 alpha=90.00 beta=90.00 gamma=90.00
Element x y z (fractional)
Rh 0.000 0.783 0.217
Rh 0.000 0.217 0.783
Rh 0.500 0.717 0.717
Rh 0.500 0.283 0.283
Zn 0.000 0.651 0.912
Zn 0.500 0.412 0.849
Zn 0.500 0.588 0.151
Zn 0.000 0.912 0.651
Zn 0.000 0.349 0.088
Zn 0.500 0.849 0.412
Zn 0.000 0.088 0.349
Zn 0.500 0.151 0.588
Ac 0.500 0.000 0.000
Ac 0.000 0.500 0.500

***

Most favorable structure: model b. The second most favorable one is 10.3 kJ/mol of atoms above it.

***

Model a:
The following is a PBE calculation of a relaxed structure of Ac3ZnRh2, from Alexandria.

Output
ρ = 8.65 g cm⁻³
Fermi-level density of states = 7.49 states/eV/cell
SG = Ibam

Unit cell a=6.981 b=7.783 c=8.521 alpha=117.17 beta=114.18 gamma=90.00
Element x y z (fractional)
Ac 0.792 0.042 0.584
Ac 0.208 0.958 0.416
Ac 0.208 0.458 0.416
Ac 0.500 0.750 0.000
Ac 0.500 0.250 0.000
Ac 0.792 0.542 0.584
Rh 0.851 0.131 0.263
Rh 0.412 0.631 0.263
Rh 0.149 0.869 0.737
Rh 0.588 0.369 0.737
Zn 0.000 0.000 0.000
Zn 0.000 0.500 0.000

***

Model b:
The following is a PBE calculation of a relaxed structure of Ac3ZnRh2, from Alexandria.

Output
ρ = 9.38 g cm⁻³
Fermi-level density of states = 16.32 states/eV/cell
SG = Pnma

Unit cell a=4.338 b=12.544 c=12.393 alpha=90.00 beta=90.00 gamma=90.00
Element x y z (fractional)
Ac 0.250 0.810 0.691
Ac 0.750 0.940 0.122
Ac 0.250 0.690 0.191
Ac 0.250 0.060 0.878
Ac 0.750 0.310 0.809
Ac 0.750 0.620 0.931
Ac 0.750 0.190 0.309
Ac 0.750 0.880 0.431
Ac 0.750 0.560 0.622
Ac 0.250 0.440 0.378
Ac 0.250 0.120 0.569
Ac 0.250 0.380 0.069
Rh 0.750 0.323 0.525
Rh 0.750 0.975 0.677
Rh 0.750 0.177 0.025
Rh 0.250 0.677 0.475
Rh 0.250 0.823 0.975
Rh 0.750 0.525 0.177
Rh 0.250 0.025 0.323
Rh 0.250 0.475 0.823
Zn 0.250 0.369 0.631
Zn 0.750 0.631 0.369
Zn 0.250 0.131 0.131
Zn 0.750 0.869 0.869

***

Most favorable structure: model b. The second most favorable one is 5.4 kJ/mol of atoms above it.

***

Model a:
The following is a PBE calculation of a relaxed structure of Ac3ZnRh, from Alexandria.

Output
ρ = 8.34 g cm⁻³
Fermi-level density of states = 10.49 states/eV/cell
SG = P1

Unit cell a=5.494 b=8.206 c=7.511 alpha=92.68 beta=90.00 gamma=90.01
Element x y z (fractional)
Ac 0.043 0.640 0.867
Ac 0.543 0.882 0.149
Ac 0.043 0.178 0.384
Ac 0.543 0.338 0.006
Ac 0.543 0.979 0.650
Ac 0.543 0.514 0.462
Zn 0.044 0.768 0.386
Zn 0.043 0.099 0.927
Rh 0.043 0.476 0.225
Rh 0.543 0.669 0.820

***

Model b:
The following is a PBE calculation of a relaxed structure of Ac3ZnRh, from Alexandria.

Output
ρ = 7.41 g cm⁻³
Fermi-level density of states = 4.95 states/eV/cell
SG = Pm-3m

Unit cell a=5.752 b=5.752 c=5.752 alpha=90.00 beta=90.00 gamma=90.00
Element x y z (fractional)
Rh 0.000 0.000 0.000
Zn 0.500 0.500 0.500
Ac 0.500 0.000 0.000
Ac 0.000 0.500 0.000
Ac 0.000 0.000 0.500

***

Model c:
The following is a PBE calculation of a relaxed structure of Ac3ZnRh, from Alexandria.

Output
ρ = 8.32 g cm⁻³
Fermi-level density of states = 17.17 states/eV/cell
SG = Pnma

Unit cell a=4.327 b=9.808 c=15.982 alpha=90.00 beta=90.00 gamma=90.00
Element x y z (fractional)
Rh 0.250 0.190 0.961
Rh 0.750 0.810 0.039
Rh 0.250 0.690 0.539
Rh 0.750 0.310 0.461
Ac 0.250 0.994 0.107
Ac 0.750 0.843 0.457
Ac 0.750 0.506 0.607
Ac 0.250 0.494 0.393
Ac 0.750 0.006 0.893
Ac 0.250 0.157 0.543
Ac 0.250 0.325 0.798
Ac 0.750 0.675 0.202
Ac 0.750 0.343 0.043
Ac 0.750 0.175 0.298
Ac 0.250 0.657 0.957
Ac 0.250 0.825 0.702
Zn 0.250 0.887 0.302
Zn 0.750 0.113 0.698
Zn 0.250 0.387 0.198
Zn 0.750 0.613 0.802

***

Most favorable structure: model c. The second most favorable one is 10.1 kJ/mol of atoms above it.

***

Model a:
The following is a PBE calculation of a relaxed structure of Ac2Zn2Rh3, from Alexandria.

Output
ρ = 9.80 g cm⁻³
Fermi-level density of states = 7.05 states/eV/cell
SG = Cmcm

Unit cell a=4.299 b=7.419 c=9.731 alpha=90.00 beta=102.76 gamma=90.00
Element x y z (fractional)
Zn 0.691 0.564 0.381
Zn 0.309 0.064 0.619
Zn 0.691 0.936 0.381
Zn 0.309 0.436 0.619
Ac 0.152 0.250 0.303
Ac 0.062 0.750 0.124
Ac 0.848 0.750 0.697
Ac 0.938 0.250 0.876
Rh 0.229 0.750 0.457
Rh 0.562 0.430 0.124
Rh 0.438 0.930 0.876
Rh 0.771 0.250 0.543
Rh 0.438 0.570 0.876
Rh 0.562 0.070 0.124

***

Model b:
The following is a PBE calculation of a relaxed structure of Ac2Zn2Rh3, from Alexandria.

Output
ρ = 10.06 g cm⁻³
Fermi-level density of states = 3.89 states/eV/cell
SG = C2/m

Unit cell a=3.960 b=6.013 c=7.075 alpha=110.65 beta=90.00 gamma=109.22
Element x y z (fractional)
Ac 0.124 0.248 0.763
Ac 0.876 0.752 0.237
Rh 0.633 0.266 0.460
Rh 0.500 0.000 0.000
Rh 0.367 0.734 0.540
Zn 0.145 0.291 0.236
Zn 0.855 0.709 0.764

***

Most favorable structure: model a. The second most favorable one is 8.3 kJ/mol of atoms above it.

***

Model a:
The following is a PBE calculation of a relaxed structure of Ac3Zn4Rh4, from Alexandria.

Output
ρ = 9.23 g cm⁻³
Fermi-level density of states = 6.48 states/eV/cell
SG = C2/m

Unit cell a=4.252 b=4.326 c=13.589 alpha=80.82 beta=81.04 gamma=89.99
Element x y z (fractional)
Rh 0.305 0.806 0.389
Rh 0.451 0.450 0.099
Rh 0.549 0.550 0.901
Rh 0.695 0.194 0.611
Ac 0.000 0.000 0.000
Ac 0.149 0.649 0.703
Ac 0.851 0.351 0.297
Zn 0.598 0.098 0.803
Zn 0.750 0.750 0.500
Zn 0.402 0.902 0.196
Zn 0.250 0.250 0.500

***

Model b:
The following is a PBE calculation of a relaxed structure of Ac3Zn4Rh4, from Alexandria.

Output
ρ = 9.68 g cm⁻³
Fermi-level density of states = 5.22 states/eV/cell
SG = Immm

Unit cell a=4.276 b=7.414 c=8.489 alpha=115.89 beta=104.59 gamma=90.00
Element x y z (fractional)
Rh 0.778 0.278 0.557
Rh 0.500 0.194 0.000
Rh 0.500 0.806 0.000
Rh 0.222 0.722 0.443
Ac 0.000 0.500 0.000
Ac 0.126 0.126 0.251
Ac 0.874 0.874 0.749
Zn 0.672 0.489 0.344
Zn 0.328 0.145 0.656
Zn 0.328 0.511 0.656
Zn 0.672 0.855 0.344

***

Most favorable structure: model b. The second most favorable one is 1.4 kJ/mol of atoms above it.

***

Model a:
The following is a PBE calculation of a relaxed structure of AcZn2Rh3, from Alexandria.

Output
ρ = 10.14 g cm⁻³
Fermi-level density of states = 3.35 states/eV/cell
SG = P6/mmm

Unit cell a=4.016 b=5.603 c=5.603 alpha=120.00 beta=90.00 gamma=90.00
Element x y z (fractional)
Zn 0.000 0.335 0.667
Zn 0.000 0.668 0.333
Rh 0.500 0.001 0.500
Rh 0.500 0.501 0.000
Rh 0.500 0.501 0.500
Ac 0.000 0.001 0.000

***

Model b:
The following is a PBE calculation of a relaxed structure of AcZn2Rh3, from Alexandria.

Output
ρ = 9.64 g cm⁻³
Fermi-level density of states = 9.99 states/eV/cell
SG = Cmcm

Unit cell a=5.354 b=6.583 c=6.583 alpha=81.72 beta=90.00 gamma=90.00
Element x y z (fractional)
Zn 0.000 0.779 0.779
Zn 0.500 0.779 0.779
Zn 0.500 0.221 0.221
Zn 0.000 0.221 0.221
Rh 0.250 0.058 0.537
Rh 0.750 0.942 0.463
Rh 0.250 0.055 0.945
Rh 0.750 0.537 0.058
Rh 0.250 0.463 0.942
Rh 0.750 0.945 0.055
Ac 0.750 0.301 0.699
Ac 0.250 0.699 0.301

***

Most favorable structure: model a. The second most favorable one is 13.2 kJ/mol of atoms above it.

***

Model a:
The following is a PBE calculation of a relaxed structure of Ac3Zn2Rh4, from Alexandria.

Output
ρ = 9.97 g cm⁻³
Fermi-level density of states = 3.68 states/eV/cell
SG = C2/m

Unit cell a=4.288 b=6.267 c=8.798 alpha=111.94 beta=90.00 gamma=110.01
Element x y z (fractional)
Rh 0.916 0.832 0.579
Rh 0.707 0.414 0.071
Rh 0.084 0.168 0.421
Rh 0.293 0.586 0.929
Ac 0.630 0.261 0.707
Ac 0.000 0.000 0.000
Ac 0.370 0.739 0.293
Zn 0.324 0.647 0.650
Zn 0.676 0.353 0.350

***

Model b:
The following is a PBE calculation of a relaxed structure of Ac3Zn2Rh4, from Alexandria.

Output
ρ = 9.95 g cm⁻³
Fermi-level density of states = 6.39 states/eV/cell
SG = C2/m

Unit cell a=4.317 b=5.782 c=8.888 alpha=96.63 beta=90.00 gamma=111.92
Element x y z (fractional)
Ac 0.622 0.244 0.378
Ac 0.000 0.000 0.000
Ac 0.378 0.756 0.622
Rh 0.718 0.436 0.089
Rh 0.282 0.564 0.911
Rh 0.091 0.183 0.639
Rh 0.909 0.817 0.361
Zn 0.320 0.640 0.212
Zn 0.680 0.360 0.788

***

Most favorable structure: model b. The second most favorable one is 3.8 kJ/mol of atoms above it.